CaScSe3: optimized geometry, GGA-PBE.

## Properties
- Density of states at the Fermi level: 0.559 states/eV/atom
- E_form (uncorrected): -1247 meV per atom
- Distance to the lowest polymorph of the same formula: 0.000 eV/atom

Cell lengths 5.162, 5.162, 5.162 Å; angles 90.00, 90.00, 90.00 degrees
Space group Pm-3m (No. 221)
Asymmetric unit:
1 Ca 0.000 0.000 0.000 x1
2 Sc 0.500 0.500 0.500 x1
3 Se 0.000 0.500 0.500 x3